The following is a DFT calculation (PBE) of a geometry-optimized Cs4HgBr7 structure.

Geometry as extended XYZ:
```
12
Lattice="5.9268 0.0000 0.0000 2.9634 10.8314 1.2499 2.9634 1.8669 9.0306" Properties=species:S:1:pos:R:3 pbc="T T T"
Cs 5.9268 4.0055 6.0111
Cs 5.9268 8.6927 4.2694
Cs 8.8902 9.1734 8.5906
Cs 2.9634 3.5249 1.6899
Hg 0.0000 0.0000 0.0000
Br 8.8902 11.6483 5.6805
Br 2.9634 1.0500 4.6001
Br 2.9634 8.3828 1.9286
Br 8.8902 4.3154 8.3519
Br 5.9268 7.3006 7.5371
Br 2.9634 0.0000 0.0000
Br 5.9268 5.3977 2.7435
```

Summary:
Symmetry   C2/m
V   47.158 A^3/atom
Formation energy from raw total energies   -1287 meV per atom
Total moment   0.000 μB per atom
D(E_F)   1.48 states/eV/f.u.

---

The following is a DFT calculation (PBE) of a geometry-optimized CsHg2Br structure.

Geometry as extended XYZ:
```
8
Lattice="10.3054 0.0000 0.0000 0.0000 10.3054 0.0000 5.1527 5.1527 3.4609" Properties=species:S:1:pos:R:3 pbc="T T T"
Cs 0.0000 0.0000 0.0000
Cs 10.3054 5.1527 1.7304
Hg 7.4154 2.5764 0.8652
Hg 2.8900 7.7291 0.8652
Hg 7.7291 8.0427 2.5957
Hg 12.8818 12.5682 2.5957
Br 5.1527 5.1527 0.0000
Br 5.1527 10.3054 1.7304
```

Summary:
Symmetry   I-42d
V   45.944 A^3/atom
Formation energy from raw total energies   -708 meV per atom
Total moment   0.000 μB per atom
D(E_F)   0.00 states/eV/f.u.

---

The following is a DFT calculation (PBE) of a geometry-optimized CsHg2Br structure.

Geometry as extended XYZ:
```
16
Lattice="7.1753 0.0000 0.0000 0.0000 15.2691 0.0000 0.0000 0.0000 6.0837" Properties=species:S:1:pos:R:3 pbc="T T T"
Cs 0.0000 12.3157 1.5209
Cs 0.0000 2.9535 4.5628
Cs 3.5876 4.6811 1.5209
Cs 3.5876 10.5880 4.5628
Hg 1.9005 0.7448 1.5209
Hg 1.9005 14.5243 4.5628
Hg 5.2748 0.7448 1.5209
Hg 5.2748 14.5243 4.5628
Hg 5.4881 8.3793 1.5209
Hg 5.4881 6.8898 4.5628
Hg 1.6872 8.3793 1.5209
Hg 1.6872 6.8898 4.5628
Br 0.0000 4.8735 1.5209
Br 0.0000 10.3956 4.5628
Br 3.5876 12.5080 1.5209
Br 3.5876 2.7611 4.5628
```

Summary:
Symmetry   Cmcm
V   41.658 A^3/atom
Formation energy from raw total energies   -806 meV per atom
Total moment   0.000 μB per atom

---

The following is a DFT calculation (PBE) of a geometry-optimized Cs2HgBr2 structure.

Geometry as extended XYZ:
```
10
Lattice="-1.3426 -8.8812 -4.7453 9.7577 0.0345 -2.8254 1.0898 -2.1615 3.7370" Properties=species:S:1:pos:R:3 pbc="T T T"
Cs 7.8722 -3.1296 -4.1058
Cs 5.1378 -7.5776 -5.8810
Cs 0.5428 -5.7170 -3.4650
Cs 3.2773 -1.2691 -1.6897
Hg 0.0000 0.0000 0.0000
Hg 4.2075 -4.4233 -3.7854
Br 6.7155 -2.4215 -0.7064
Br 7.9273 -6.8554 -3.6243
Br 2.7893 -8.5866 -3.1273
Br 1.5776 -4.1527 -0.2094
```

Summary:
Symmetry   P4/mbm
V   45.949 A^3/atom
Formation energy from raw total energies   -1346 meV per atom
Total moment   0.000 μB per atom
D(E_F)   0.00 states/eV/f.u.

---

The following is a DFT calculation (PBE) of a geometry-optimized Cs2HgBr structure.

Geometry as extended XYZ:
```
8
Lattice="9.9076 0.0000 0.0000 0.0000 9.9076 0.0000 4.9538 4.9538 5.0464" Properties=species:S:1:pos:R:3 pbc="T T T"
Cs 7.0799 2.4769 1.2616
Cs 2.8277 7.4307 1.2616
Cs 7.4307 7.7815 3.7848
Cs 12.3845 12.0337 3.7848
Hg 0.0000 0.0000 0.0000
Hg 9.9076 4.9538 2.5232
Br 4.9538 4.9538 0.0000
Br 4.9538 9.9076 2.5232
```

Summary:
Symmetry   I-42d
V   61.920 A^3/atom
Formation energy from raw total energies   -843 meV per atom
Total moment   0.002 μB per atom
D(E_F)   3.97 states/eV/f.u.

---

The following is a DFT calculation (PBE) of a geometry-optimized Cs6HgBr structure.

Geometry as extended XYZ:
```
16
Lattice="-4.2263 5.3680 -6.3322 -5.0486 -4.5048 6.4025 1.3853 13.9936 10.9381" Properties=species:S:1:pos:R:3 pbc="T T T"
Cs -2.6556 5.4443 4.1750
Cs -5.2340 9.4126 6.8335
Cs -2.8923 2.2817 8.2509
Cs -6.2264 -0.8633 5.5974
Cs -4.9972 12.5751 2.7576
Cs -1.6631 15.7201 5.4111
Cs -7.2281 4.2633 6.2649
Cs -1.6297 0.2870 3.5436
Cs -0.6614 10.5935 4.7436
Cs -6.2598 14.5698 7.4648
Cs -5.9367 2.2943 1.5211
Cs -1.9528 12.5625 9.4874
Hg 0.6927 6.9968 5.4691
Hg 0.0000 0.0000 0.0000
Br -4.4281 2.2846 4.8921
Br -3.4614 12.5723 6.1163
```

Summary:
Symmetry   P-31c
V   83.673 A^3/atom
Formation energy from raw total energies   -470 meV per atom
Total moment   0.000 μB per atom
D(E_F)   7.15 states/eV/f.u.

---

The following is a DFT calculation (PBE) of a geometry-optimized CsHgBr2 structure.

Geometry as extended XYZ:
```
4
Lattice="0.0000 4.1602 4.1602 4.1602 0.0000 4.1602 4.1602 4.1602 0.0000" Properties=species:S:1:pos:R:3 pbc="T T T"
Cs 0.0000 0.0000 0.0000
Hg 4.1602 4.1602 4.1602
Br 2.0801 2.0801 2.0801
Br 6.2402 6.2402 6.2402
```

Summary:
Symmetry   Fm-3m
V   36.000 A^3/atom
Formation energy from raw total energies   -803 meV per atom
Total moment   0.000 μB per atom
D(E_F)   7.28 states/eV/f.u.

---

The following is a DFT calculation (PBE) of a geometry-optimized Cs5HgBr4 structure.

Geometry as extended XYZ:
```
10
Lattice="5.2357 0.0000 -0.7379 -0.1040 5.2347 -0.7379 0.0153 0.0156 19.0529" Properties=species:S:1:pos:R:3 pbc="T T T"
Cs 0.5353 0.5460 3.7980
Cs 2.5659 2.6173 -0.7379
Cs 4.6117 4.7043 13.7791
Cs 1.5464 1.5775 10.9730
Cs 3.6006 3.6728 6.6042
Hg 0.0000 0.0000 0.0000
Br 2.0549 2.0961 14.5809
Br 4.1094 4.1918 10.2147
Br 1.0376 1.0584 7.3624
Br 3.0921 3.1541 2.9963
```

Summary:
Symmetry   I4/mmm
V   52.231 A^3/atom
Formation energy from raw total energies   -1424 meV per atom
Total moment   0.052 μB per atom
D(E_F)   3.15 states/eV/f.u.

---

The following is a DFT calculation (PBE) of a geometry-optimized CsHg2Br structure.

Geometry as extended XYZ:
```
4
Lattice="-0.8322 2.9511 3.9958 3.0025 -2.9510 2.7933 4.1957 3.7890 -4.9772" Properties=species:S:1:pos:R:3 pbc="T T T"
Cs 5.3646 3.3462 -1.8708
Hg 2.2960 2.9361 0.9247
Hg 4.2393 -0.0354 0.3030
Br 3.4614 6.3074 -1.2741
```

Summary:
Symmetry   P1
V   42.551 A^3/atom
Formation energy from raw total energies   -799 meV per atom
Total moment   0.000 μB per atom

---

The following is a DFT calculation (PBE) of a geometry-optimized Cs2HgBr structure.

Geometry as extended XYZ:
```
4
Lattice="-2.8471 3.2288 -2.7985 -4.4188 -1.6038 -2.0651 -7.1494 3.2904 6.3596" Properties=species:S:1:pos:R:3 pbc="T T T"
Cs -3.4861 1.1604 0.1753
Cs -10.9291 3.7549 1.3207
Hg -7.2076 2.4577 0.7480
Br 0.0000 0.0000 0.0000
```

Summary:
Symmetry   R-3m
V   55.219 A^3/atom
Formation energy from raw total energies   -915 meV per atom
Total moment   0.121 μB per atom
D(E_F)   2.98 states/eV/f.u.

---

The following is a DFT calculation (PBE) of a geometry-optimized CsHg4Br structure.

Geometry as extended XYZ:
```
6
Lattice="6.7388 0.0000 0.0000 3.3694 5.8359 0.0000 3.3694 1.9453 5.5022" Properties=species:S:1:pos:R:3 pbc="T T T"
Cs 3.3694 1.9453 1.3755
Hg 6.7388 3.8906 0.6591
Hg 6.7388 1.9183 3.4484
Hg 8.4468 4.8768 3.4484
Hg 5.0307 4.8768 3.4484
Br 0.0000 0.0000 0.0000
```

Summary:
Symmetry   F-43m
V   36.064 A^3/atom
Formation energy from raw total energies   -479 meV per atom
Total moment   0.000 μB per atom

---

The following is a DFT calculation (PBE) of a geometry-optimized Cs2HgBr structure.

Geometry as extended XYZ:
```
4
Lattice="0.0000 4.5698 4.5698 4.5698 0.0000 4.5698 4.5698 4.5698 0.0000" Properties=species:S:1:pos:R:3 pbc="T T T"
Cs 2.2849 2.2849 2.2849
Cs 6.8547 6.8547 6.8547
Hg 4.5698 4.5698 4.5698
Br 0.0000 0.0000 0.0000
```

Summary:
Symmetry   Fm-3m
V   47.715 A^3/atom
Formation energy from raw total energies   -824 meV per atom
Total moment   0.000 μB per atom
D(E_F)   4.89 states/eV/f.u.